Here is an optimized crystal structure of Ac3LaSm12 from the Alexandria database. Energies are from PBE.

Cell lengths 5.2393, 5.2393, 20.9198 Å; angles 90.00, 90.00, 90.00 degrees
Atoms (fractional coordinates):
Ac1 0.0000 0.0000 0.2484
Ac2 0.0000 0.0000 0.5000
Ac3 0.0000 0.0000 0.7516
La1 0.0000 0.0000 0.0000
Sm1 0.5000 0.5000 0.0000
Sm2 0.5000 0.5000 0.2482
Sm3 0.5000 0.5000 0.5000
Sm4 0.5000 0.5000 0.7518
Sm5 0.5000 0.0000 0.1221
Sm6 0.5000 0.0000 0.3741
Sm7 0.5000 0.0000 0.6259
Sm8 0.5000 0.0000 0.8779
Sm9 0.0000 0.5000 0.1221
Sm10 0.0000 0.5000 0.3741
Sm11 0.0000 0.5000 0.6259
Sm12 0.0000 0.5000 0.8779

* formation enthalpy at 0 K: 0.031 eV/atom
* ρ: 7.59 g cm⁻³
* density of states at the Fermi level: 1.63 states/eV/atom

Here is an optimized crystal structure of Ac3La5Sm3 from the Alexandria database. Energies are from PBE.

Cell lengths 6.1896, 9.7398, 9.7398 Å; angles 120.00, 90.00, 90.00 degrees
Atoms (fractional coordinates):
Ac1 0.0000 0.4750 0.0000
Ac2 0.0000 0.0000 0.4750
Ac3 0.0000 0.5250 0.5250
La1 0.5000 0.6667 0.3333
La2 0.5000 0.3333 0.6667
La3 0.5000 0.3654 0.0000
La4 0.5000 0.6346 0.6346
La5 0.5000 0.0000 0.3654
Sm1 0.5000 0.7227 0.0000
Sm2 0.5000 0.2773 0.2773
Sm3 0.5000 0.0000 0.7227

* formation enthalpy at 0 K: 0.618 eV/atom
* ρ: 5.96 g cm⁻³
* density of states at the Fermi level: 1.76 states/eV/atom

Here is an optimized crystal structure of AcLa4Sm10 from the Alexandria database. Energies are from PBE.

Cell lengths 10.9694, 8.9274, 8.9274 Å; angles 67.82, 52.09, 52.09 degrees
Atoms (fractional coordinates):
Ac1 0.0000 0.0000 0.0000
La1 0.3410 0.7230 0.5950
La2 0.9360 0.4050 0.7230
La3 0.0640 0.5950 0.2770
La4 0.6590 0.2770 0.4050
Sm1 0.2500 0.5000 0.5000
Sm2 0.5395 0.3258 0.9087
Sm3 0.1347 0.0913 0.3258
Sm4 0.5519 0.9087 0.6742
Sm5 0.7740 0.6742 0.0913
Sm6 0.4605 0.6742 0.0913
Sm7 0.7500 0.5000 0.5000
Sm8 0.2260 0.3258 0.9087
Sm9 0.4481 0.0913 0.3258
Sm10 0.8653 0.9087 0.6742

* formation enthalpy at 0 K: 0.290 eV/atom
* ρ: 6.98 g cm⁻³
* density of states at the Fermi level: 1.42 states/eV/atom

Here is an optimized crystal structure of AcLaSm5 from the Alexandria database. Energies are from PBE.

Cell lengths 6.7859, 6.7859, 12.2278 Å; angles 105.94, 105.94, 96.73 degrees
Atoms (fractional coordinates):
Ac1 0.0000 0.0000 0.0000
Ac2 0.0000 0.0000 0.5000
La1 0.4877 0.5123 0.7500
La2 0.5123 0.4877 0.2500
Sm1 0.3846 0.0319 0.8337
Sm2 0.4667 0.7626 0.5352
Sm3 0.0319 0.3846 0.3337
Sm4 0.8295 0.1705 0.7500
Sm5 0.2374 0.5333 0.9648
Sm6 0.7626 0.4667 0.0352
Sm7 0.1705 0.8295 0.2500
Sm8 0.9681 0.6154 0.6663
Sm9 0.5333 0.2374 0.4648
Sm10 0.6154 0.9681 0.1663

* formation enthalpy at 0 K: 0.090 eV/atom
* ρ: 7.29 g cm⁻³
* density of states at the Fermi level: 1.58 states/eV/atom

Here is an optimized crystal structure of Ac3La12Sm from the Alexandria database. Energies are from PBE.

Cell lengths 5.3293, 5.3293, 21.3021 Å; angles 90.00, 90.00, 90.00 degrees
Atoms (fractional coordinates):
Ac1 0.0000 0.0000 0.2481
Ac2 0.0000 0.0000 0.5000
Ac3 0.0000 0.0000 0.7519
La1 0.5000 0.5000 0.0000
La2 0.5000 0.5000 0.2463
La3 0.5000 0.5000 0.5000
La4 0.5000 0.5000 0.7537
La5 0.5000 0.0000 0.1210
La6 0.5000 0.0000 0.3744
La7 0.5000 0.0000 0.6256
La8 0.5000 0.0000 0.8790
La9 0.0000 0.5000 0.1210
La10 0.0000 0.5000 0.3744
La11 0.0000 0.5000 0.6256
La12 0.0000 0.5000 0.8790
Sm1 0.0000 0.0000 0.0000

* formation enthalpy at 0 K: 0.011 eV/atom
* ρ: 6.86 g cm⁻³
* density of states at the Fermi level: 1.82 states/eV/atom

Here is an optimized crystal structure of Ac4La5Sm4 from the Alexandria database. Energies are from PBE.

Cell lengths 5.3744, 10.0048, 10.0048 Å; angles 85.86, 74.42, 74.42 degrees
Atoms (fractional coordinates):
Ac1 0.9189 0.4609 0.7014
Ac2 0.6202 0.2986 0.4609
Ac3 0.0811 0.5391 0.2986
Ac4 0.3798 0.7014 0.5391
La1 0.6862 0.8566 0.7710
La2 0.3138 0.1434 0.2290
La3 0.0000 0.0000 0.0000
La4 0.5428 0.7710 0.1434
La5 0.4572 0.2290 0.8566
Sm1 0.7703 0.3816 0.0779
Sm2 0.2297 0.6184 0.9221
Sm3 0.8482 0.9221 0.3816
Sm4 0.1518 0.0779 0.6184

* formation enthalpy at 0 K: 0.034 eV/atom
* ρ: 7.33 g cm⁻³
* density of states at the Fermi level: 1.91 states/eV/atom

Here is an optimized crystal structure of Ac2La7Sm4 from the Alexandria database. Energies are from PBE.

Cell lengths 8.7221, 6.5908, 8.8379 Å; angles 95.43, 104.63, 86.55 degrees
Atoms (fractional coordinates):
Ac1 0.7327 0.4288 0.9865
Ac2 0.2673 0.5712 0.0135
La1 0.9593 0.6495 0.6536
La2 0.0407 0.3505 0.3464
La3 0.0000 0.0000 0.0000
La4 0.5525 0.8891 0.7995
La5 0.4475 0.1109 0.2005
La6 0.5979 0.5855 0.3721
La7 0.4021 0.4145 0.6279
Sm1 0.1656 0.1181 0.7410
Sm2 0.8344 0.8819 0.2590
Sm3 0.7548 0.1456 0.5845
Sm4 0.2452 0.8544 0.4155

* formation enthalpy at 0 K: 0.131 eV/atom
* ρ: 6.89 g cm⁻³
* density of states at the Fermi level: 1.41 states/eV/atom

Here is an optimized crystal structure of Ac2La2Sm7 from the Alexandria database. Energies are from PBE.

Cell lengths 3.7459, 11.0099, 11.0099 Å; angles 66.47, 80.21, 80.21 degrees
Atoms (fractional coordinates):
Ac1 0.0000 0.6476 0.3524
Ac2 0.5000 0.3662 0.6338
La1 0.6250 0.9964 0.7537
La2 0.3750 0.2463 0.0036
Sm1 0.8401 0.0221 0.2977
Sm2 0.8213 0.5419 0.8154
Sm3 0.5000 0.9136 0.0864
Sm4 0.6971 0.4193 0.1866
Sm5 0.3029 0.8134 0.5807
Sm6 0.1599 0.7023 0.9779
Sm7 0.1787 0.1846 0.4581

* energy relative to the lowest polymorph listed for this composition: 0 meV/atom
* formation enthalpy at 0 K: 0.111 eV/atom
* ρ: 7.27 g cm⁻³
* density of states at the Fermi level: 1.47 states/eV/atom

Here is an optimized crystal structure of Ac6La4Sm from the Alexandria database. Energies are from PBE.

Cell lengths 3.8460, 11.7192, 11.7192 Å; angles 120.00, 90.00, 90.00 degrees
Atoms (fractional coordinates):
Ac1 0.5000 0.6309 0.8155
Ac2 0.5000 0.1845 0.3691
Ac3 0.0000 0.5351 0.0701
Ac4 0.0000 0.5351 0.4649
Ac5 0.0000 0.9299 0.4649
Ac6 0.5000 0.1845 0.8155
La1 0.5000 0.3108 0.1554
La2 0.5000 0.8446 0.1554
La3 0.0000 0.3333 0.6667
La4 0.5000 0.8446 0.6893
Sm1 0.0000 0.0000 0.0000

* formation enthalpy at 0 K: 0.125 eV/atom
* ρ: 7.51 g cm⁻³
* density of states at the Fermi level: 1.44 states/eV/atom

Here is an optimized crystal structure of AcLa5Sm5 from the Alexandria database. Energies are from PBE.

Cell lengths 6.3645, 6.3645, 11.8197 Å; angles 90.00, 90.00, 120.00 degrees
Atoms (fractional coordinates):
Ac1 0.3333 0.6667 0.0000
La1 0.6667 0.3333 0.1602
La2 0.6667 0.3333 0.8398
La3 0.3333 0.6667 0.3297
La4 0.3333 0.6667 0.6703
La5 0.0000 0.0000 0.0000
Sm1 0.3352 0.1676 0.5000
Sm2 0.0000 0.0000 0.2665
Sm3 0.8324 0.6648 0.5000
Sm4 0.8324 0.1676 0.5000
Sm5 0.0000 0.0000 0.7335

* formation enthalpy at 0 K: 0.234 eV/atom
* ρ: 6.70 g cm⁻³
* density of states at the Fermi level: 1.80 states/eV/atom

Here is an optimized crystal structure of Ac6LaSm5 from the Alexandria database. Energies are from PBE.

Cell lengths 8.4720, 8.4720, 6.6799 Å; angles 97.50, 97.50, 85.87 degrees
Atoms (fractional coordinates):
Ac1 0.4183 0.0846 0.2501
Ac2 0.9154 0.5817 0.7499
Ac3 0.2505 0.2505 0.7480
Ac4 0.7495 0.7495 0.2520
Ac5 0.0846 0.4183 0.2501
Ac6 0.5817 0.9154 0.7499
Sm1 0.8321 0.1679 0.5000
Sm2 0.6656 0.3344 0.0000
Sm3 0.5000 0.5000 0.5000
Sm4 0.3344 0.6656 0.0000
Sm5 0.1679 0.8321 0.5000
La1 0.0000 0.0000 0.0000

* formation enthalpy at 0 K: 0.032 eV/atom
* ρ: 7.95 g cm⁻³
* density of states at the Fermi level: 1.41 states/eV/atom

Here is an optimized crystal structure of AcLa12Sm6 from the Alexandria database. Energies are from PBE.

Cell lengths 9.1777, 9.1777, 9.1777 Å; angles 101.05, 101.05, 101.05 degrees
Atoms (fractional coordinates):
Ac1 0.0000 0.0000 0.0000
La1 0.8912 0.1088 0.5000
La2 0.4487 0.1756 0.4487
La3 0.4487 0.4487 0.1756
La4 0.8244 0.5513 0.5513
La5 0.5513 0.5513 0.8244
La6 0.5513 0.8244 0.5513
La7 0.5000 0.8912 0.1088
La8 0.1088 0.5000 0.8912
La9 0.1088 0.8912 0.5000
La10 0.5000 0.1088 0.8912
La11 0.8912 0.5000 0.1088
La12 0.1756 0.4487 0.4487
Sm1 0.7770 0.2565 0.7770
Sm2 0.7770 0.7770 0.2565
Sm3 0.2565 0.7770 0.7770
Sm4 0.2230 0.2230 0.7435
Sm5 0.2230 0.7435 0.2230
Sm6 0.7435 0.2230 0.2230

* formation enthalpy at 0 K: 0.312 eV/atom
* ρ: 6.42 g cm⁻³
* density of states at the Fermi level: 1.75 states/eV/atom